A PBEsol-optimized structure of LiCdAu2, computed with meta-GGA SCAN.

Unit cell a=4.1028 b=4.1028 c=3.9590 alpha=90.00 beta=90.00 gamma=90.00
Positions (direct):
Li  0.0000  0.0000  0.0000
Cd  0.5000  0.5000  0.0000
Au  0.0000  0.5000  0.5000
Au  0.5000  0.0000  0.5000


A PBEsol-optimized structure of Li2Cd2Au, computed with meta-GGA SCAN.

Unit cell a=7.6982 b=7.6982 c=7.6982 alpha=153.20 beta=153.20 gamma=38.27
Positions (direct):
Li  0.2500  0.7500  0.5000
Li  0.7500  0.2500  0.5000
Cd  0.1017  0.1017  0.0000
Cd  0.8983  0.8983  0.0000
Au  0.5000  0.5000  0.0000


A PBEsol-optimized structure of Li2CdAu, computed with meta-GGA SCAN.

Calculated values
Excess energy over the best structure of this formula in the dataset in meV per atom: 38

Unit cell a=3.2740 b=3.2740 c=5.8892 alpha=90.00 beta=90.00 gamma=90.00
Positions (direct):
Li  0.0000  0.0000  0.2264
Li  0.0000  0.0000  0.7736
Cd  0.5000  0.5000  0.5000
Au  0.5000  0.5000  0.0000


A PBEsol-optimized structure of LiCd3Au, computed with meta-GGA SCAN.

Calculated values
Excess energy over the best structure of this formula in the dataset in meV per atom: 0

Unit cell a=5.2021 b=5.2021 c=5.2021 alpha=90.00 beta=90.00 gamma=90.00
Positions (direct):
Li  0.0000  0.0000  0.0000
Cd  0.0000  0.5000  0.5000
Cd  0.5000  0.0000  0.5000
Cd  0.5000  0.5000  0.0000
Au  0.5000  0.5000  0.5000


A PBEsol-optimized structure of Li2CdAu, computed with meta-GGA SCAN.

Calculated values
Excess energy over the best structure of this formula in the dataset in meV per atom: 14

Unit cell a=4.4581 b=4.4581 c=4.4581 alpha=121.05 beta=121.05 gamma=88.19
Positions (direct):
Li  0.2500  0.7500  0.5000
Li  0.7500  0.2500  0.5000
Cd  0.0000  0.0000  0.0000
Au  0.5000  0.5000  0.0000


A PBEsol-optimized structure of Li2CdAu, computed with meta-GGA SCAN.

Calculated values
Excess energy over the best structure of this formula in the dataset in meV per atom: 116

Unit cell a=3.3045 b=3.3045 c=6.1090 alpha=90.00 beta=90.00 gamma=90.00
Positions (direct):
Li  0.0000  0.0000  0.0000
Li  0.5000  0.5000  0.2594
Cd  0.5000  0.5000  0.7407
Au  0.0000  0.0000  0.4610


A PBEsol-optimized structure of LiCd2Au, computed with meta-GGA SCAN.

Calculated values
Excess energy over the best structure of this formula in the dataset in meV per atom: 58

Unit cell a=4.6393 b=4.6393 c=4.6393 alpha=60.00 beta=60.00 gamma=60.00
Positions (direct):
Li  0.0000  0.0000  0.0000
Cd  0.5000  0.5000  0.5000
Cd  0.7500  0.7500  0.7500
Au  0.2500  0.2500  0.2500


A PBEsol-optimized structure of LiCd2Au, computed with meta-GGA SCAN.

Calculated values
Excess energy over the best structure of this formula in the dataset in meV per atom: 50

Unit cell a=4.1967 b=4.1967 c=4.0228 alpha=90.00 beta=90.00 gamma=90.00
Positions (direct):
Li  0.0000  0.0000  0.0000
Cd  0.0000  0.5000  0.5000
Cd  0.5000  0.0000  0.5000
Au  0.5000  0.5000  0.0000


A PBEsol-optimized structure of LiCd2Au, computed with meta-GGA SCAN.

Calculated values
Excess energy over the best structure of this formula in the dataset in meV per atom: 42

Unit cell a=5.0682 b=5.0682 c=5.0682 alpha=132.00 beta=132.00 gamma=70.24
Positions (direct):
Li  0.0000  0.0000  0.0000
Cd  0.2500  0.7500  0.5000
Cd  0.5000  0.5000  0.0000
Au  0.7500  0.2500  0.5000


A PBEsol-optimized structure of LiCdAu2, computed with meta-GGA SCAN.

Unit cell a=2.9617 b=3.8205 c=5.8961 alpha=90.00 beta=90.00 gamma=90.00
Positions (direct):
Li  0.0000  0.0000  0.0000
Cd  0.0000  0.0000  0.5000
Au  0.5000  0.5000  0.2350
Au  0.5000  0.5000  0.7650


A PBEsol-optimized structure of LiCdAu2, computed with meta-GGA SCAN.

Unit cell a=4.5636 b=4.5636 c=4.5636 alpha=60.00 beta=60.00 gamma=60.00
Positions (direct):
Li  0.0000  0.0000  0.0000
Cd  0.2500  0.2500  0.2500
Au  0.5000  0.5000  0.5000
Au  0.7500  0.7500  0.7500


A PBEsol-optimized structure of Li2CdAu, computed with meta-GGA SCAN.

Calculated values
Excess energy over the best structure of this formula in the dataset in meV per atom: 0

Unit cell a=4.8907 b=4.8907 c=4.8907 alpha=131.24 beta=131.24 gamma=71.43
Positions (direct):
Li  0.0000  0.0000  0.0000
Li  0.7500  0.2500  0.5000
Cd  0.2500  0.7500  0.5000
Au  0.5000  0.5000  0.0000


A PBEsol-optimized structure of LiCdAu2, computed with meta-GGA SCAN.

Unit cell a=4.9745 b=4.9745 c=4.9745 alpha=131.96 beta=131.96 gamma=70.29
Positions (direct):
Li  0.0000  0.0000  0.0000
Cd  0.2500  0.7500  0.5000
Au  0.5000  0.5000  0.0000
Au  0.7500  0.2500  0.5000


A PBEsol-optimized structure of LiCdAu2, computed with meta-GGA SCAN.

Unit cell a=5.0089 b=5.0089 c=4.8883 alpha=99.02 beta=99.02 gamma=34.10
Positions (direct):
Li  0.0000  0.0000  0.0000
Cd  0.7633  0.7633  0.2913
Au  0.2558  0.2558  0.7978
Au  0.5103  0.5103  0.5194


A PBEsol-optimized structure of LiCd2Au, computed with meta-GGA SCAN.

Calculated values
Excess energy over the best structure of this formula in the dataset in meV per atom: 106

Unit cell a=5.0104 b=5.0104 c=5.1164 alpha=98.24 beta=98.24 gamma=34.30
Positions (direct):
Li  0.0000  0.0000  0.0000
Cd  0.2461  0.2461  0.7504
Cd  0.7539  0.7539  0.2496
Au  0.5000  0.5000  0.5000


A PBEsol-optimized structure of LiCd2Au, computed with meta-GGA SCAN.

Calculated values
Excess energy over the best structure of this formula in the dataset in meV per atom: 82

Unit cell a=3.1358 b=3.5439 c=6.3478 alpha=90.00 beta=90.00 gamma=90.00
Positions (direct):
Li  0.0000  0.0000  0.0000
Cd  0.0000  0.0000  0.4594
Cd  0.5000  0.5000  0.7477
Au  0.5000  0.5000  0.1981


A PBEsol-optimized structure of MgCd2Au, computed with meta-GGA SCAN.

Unit cell a=5.1387 b=5.1387 c=4.2606 alpha=114.23 beta=114.23 gamma=48.17
Positions (direct):
Mg  0.0000  0.0000  0.0000
Cd  0.2489  0.2489  0.7488
Cd  0.7511  0.7511  0.2512
Au  0.5000  0.5000  0.5000


A PBEsol-optimized structure of Mg2CdAu, computed with meta-GGA SCAN.

Calculated values
Excess energy over the best structure of this formula in the dataset in meV per atom: 67

Unit cell a=5.1584 b=5.1584 c=5.1584 alpha=132.13 beta=132.13 gamma=70.03
Positions (direct):
Mg  0.0000  0.0000  0.0000
Mg  0.7500  0.2500  0.5000
Cd  0.2500  0.7500  0.5000
Au  0.5000  0.5000  0.0000


A PBEsol-optimized structure of MgCd2Au, computed with meta-GGA SCAN.

Unit cell a=5.0029 b=5.0029 c=5.0029 alpha=128.04 beta=128.04 gamma=76.55
Positions (direct):
Mg  0.0000  0.0000  0.0000
Cd  0.2500  0.7500  0.5000
Cd  0.5000  0.5000  0.0000
Au  0.7500  0.2500  0.5000


A PBEsol-optimized structure of Mg2CdAu, computed with meta-GGA SCAN.

Calculated values
Excess energy over the best structure of this formula in the dataset in meV per atom: 69

Unit cell a=5.3254 b=5.3254 c=4.6606 alpha=109.80 beta=109.80 gamma=38.04
Positions (direct):
Mg  0.0000  0.0000  0.0000
Mg  0.2268  0.2268  0.6863
Cd  0.4688  0.4688  0.4682
Au  0.7308  0.7308  0.1765


A PBEsol-optimized structure of Mg2CdAu, computed with meta-GGA SCAN.

Calculated values
Excess energy over the best structure of this formula in the dataset in meV per atom: 0

Unit cell a=3.2443 b=3.3483 c=6.9622 alpha=90.00 beta=90.00 gamma=90.00
Positions (direct):
Mg  0.0000  0.0000  0.2252
Mg  0.0000  0.0000  0.7748
Cd  0.5000  0.5000  0.5000
Au  0.5000  0.5000  0.0000


A PBEsol-optimized structure of MgCd2Au, computed with meta-GGA SCAN.

Unit cell a=4.7471 b=4.7471 c=4.7471 alpha=60.00 beta=60.00 gamma=60.00
Positions (direct):
Mg  0.0000  0.0000  0.0000
Cd  0.2500  0.2500  0.2500
Cd  0.5000  0.5000  0.5000
Au  0.7500  0.7500  0.7500


A PBEsol-optimized structure of Mg2CdAu, computed with meta-GGA SCAN.

Calculated values
Excess energy over the best structure of this formula in the dataset in meV per atom: 73

Unit cell a=5.5551 b=5.5551 c=5.5551 alpha=143.53 beta=130.88 gamma=62.70
Positions (direct):
Mg  0.0000  0.0000  0.0000
Mg  0.7252  0.2252  0.5000
Cd  0.4632  0.4632  0.0000
Au  0.2261  0.7261  0.5000


A PBEsol-optimized structure of Mg2CdAu, computed with meta-GGA SCAN.

Calculated values
Excess energy over the best structure of this formula in the dataset in meV per atom: 8

Unit cell a=4.7114 b=4.7114 c=4.7104 alpha=119.89 beta=119.89 gamma=90.04
Positions (direct):
Mg  0.2503  0.7497  0.0000
Mg  0.7497  0.2503  0.0000
Cd  0.0000  0.0000  0.5000
Au  0.5000  0.5000  0.5000


A PBEsol-optimized structure of MgCd2Au, computed with meta-GGA SCAN.

Unit cell a=3.3652 b=3.6946 c=6.1441 alpha=90.00 beta=90.00 gamma=90.00
Positions (direct):
Mg  0.0000  0.0000  0.0000
Cd  0.0000  0.0000  0.4698
Cd  0.5000  0.5000  0.7284
Au  0.5000  0.5000  0.2112


A PBEsol-optimized structure of MgCd2Au, computed with meta-GGA SCAN.

Unit cell a=5.1768 b=5.1768 c=5.1768 alpha=132.79 beta=131.31 gamma=70.16
Positions (direct):
Mg  0.0000  0.0000  0.0000
Cd  0.2516  0.7516  0.5000
Cd  0.7484  0.2484  0.5000
Au  0.5000  0.5000  0.0000


A PBEsol-optimized structure of Mg2CdAu, computed with meta-GGA SCAN.

Calculated values
Excess energy over the best structure of this formula in the dataset in meV per atom: 101

Unit cell a=3.5662 b=3.5662 c=6.0123 alpha=90.00 beta=90.00 gamma=90.00
Positions (direct):
Mg  0.0000  0.0000  0.0000
Mg  0.5000  0.5000  0.2880
Cd  0.5000  0.5000  0.7591
Au  0.0000  0.0000  0.4878


A PBEsol-optimized structure of MgCd2Au, computed with meta-GGA SCAN.

Unit cell a=4.1466 b=4.1466 c=4.3994 alpha=90.00 beta=90.00 gamma=90.00
Positions (direct):
Mg  0.0000  0.0000  0.0000
Cd  0.0000  0.5000  0.5000
Cd  0.5000  0.0000  0.5000
Au  0.5000  0.5000  0.0000


A PBEsol-optimized structure of Mg2Cd2Au, computed with meta-GGA SCAN.

Unit cell a=8.0444 b=8.0444 c=8.0444 alpha=152.65 beta=152.65 gamma=39.06
Positions (direct):
Mg  0.0914  0.0914  0.0000
Mg  0.9086  0.9086  0.0000
Cd  0.2500  0.7500  0.5000
Cd  0.7500  0.2500  0.5000
Au  0.5000  0.5000  0.0000


A PBEsol-optimized structure of MgCd2Au, computed with meta-GGA SCAN.

Unit cell a=3.1494 b=4.9869 c=4.9805 alpha=90.00 beta=90.30 gamma=90.00
Positions (direct):
Mg  0.0000  0.0000  0.0000
Cd  0.2731  0.5000  0.2512
Cd  0.7269  0.5000  0.7488
Au  0.5000  0.0000  0.5000


A PBEsol-optimized structure of Mg2CdAu, computed with meta-GGA SCAN.

Calculated values
Excess energy over the best structure of this formula in the dataset in meV per atom: 21

Unit cell a=4.6184 b=4.6184 c=3.4792 alpha=90.00 beta=90.00 gamma=90.00
Positions (direct):
Mg  0.0000  0.5000  0.0000
Mg  0.5000  0.0000  0.0000
Cd  0.0000  0.0000  0.5000
Au  0.5000  0.5000  0.5000


Values of energy, in order: -43.23, -27.08, -26.56, -32.53, -26.58, -26.48, -33.45, -33.46, -33.46, -43.22, -43.20, -26.60, -43.24, -43.19, -33.40, -33.42, -34.04, -27.80, -34.05, -27.80, -27.87, -34.03, -27.80, -27.86, -34.05, -34.04, -27.77, -34.05, -28.06, -33.98, -27.85, all in eV per atom.
Values of ΔH_f (0 K), in order: -448, -129, -472, 23, -495, -394, -354, -362, -370, -438, -416, -510, -463, -408, -306, -330, -296, -423, -307, -421, -491, -295, -418, -483, -311, -295, -390, -309, -76, -244, -470, all in meV/atom.
Values of size of the total moment, in order: 0.00, 0.00, 0.00, 0.00, 0.00, 0.00, 0.00, 0.00, 0.00, 0.00, 0.00, 0.00, 0.00, 0.00, 0.00, 0.00, 0.00, 0.00, 0.00, 0.00, 0.00, 0.00, 0.00, 0.00, 0.00, 0.00, 0.00, 0.00, 0.00, 0.00, 0.00, all in μB per formula unit.